# 1
Entry from the Alexandria database: SrYCdBr2 after structural relaxation (PBE-GGA).

a b c (Å): 5.4888 7.9041 5.4888
angles (deg): 90.00 90.00 90.00
Closest atoms and distances in Å follow each position.
Fractional positions:
1 Y 0.0000 0.0000 0.0000  4 Br 2.74
2 Sr 0.0000 0.5000 0.0000  4 Cd 3.88, 2 Y 3.95
3 Br 0.0000 0.0000 0.5000  2 Y 2.74
4 Br 0.5000 0.0000 0.0000  2 Y 2.74
5 Cd 0.5000 0.5000 0.5000  4 Sr 3.88

Its space-group type is P4/mmm, No. 123. Its uncorrected formation energy is -0.639 eV/atom. As for the crystal system: tetragonal.

# 2
Entry from the Alexandria database: Re3HI after structural relaxation (PBE-GGA).

a b c (Å): 4.8497 4.8497 4.8497
angles (deg): 90.00 90.00 90.00
Closest atoms and distances in Å follow each position.
Fractional positions:
1 I 0.0000 0.0000 0.0000  6 Re 2.42
2 Re 0.0000 0.5000 0.0000  2 I 2.42
3 Re 0.0000 0.0000 0.5000  2 I 2.42
4 Re 0.5000 0.0000 0.0000  2 I 2.42
5 H 0.5000 0.5000 0.5000  12 Re 3.43

The value obtained for the energy above the lowest structure with this stoichiometry is 2.2590 eV per atom. Its space-group type is Pm-3m, No. 221. As for the crystal system: cubic.

The calculation returns the following size of the total moment values, one per record and in order: 0.7, 2.0 μB/cell.
The calculation returns the following D(E_F) values, one per record and in order: 3.0, 8.5 states/eV per cell.